(1)
Density functional theory data (PBE-GGA) for a geometry-optimized SiNiPb2 structure.

abc: 4.3390 4.0408 5.4659
angles: 90.00 112.20 90.00
Closest atoms and distances in Å follow each position.
Fractional positions:
Si: 0.0000 0.0000 0.0000  2 Ni 2.27
Ni: 0.9250 0.5000 0.7953  2 Si 2.27
Pb: 0.3063 0.0000 0.5975  3 Si 2.97-3.03, 4 Ni 3.06-3.20
Pb: 0.6076 0.5000 0.1932  3 Ni 2.94-3.05, 4 Si 3.07-3.17

Properties
Space-group type ... No. 6
Energy relative to the elements, uncorrected ... 0.12 eV/atom
Fermi-level density of states ... 2.32 states/eV per cell
Total magnetic moment ... 0.0000 μB/atom

(2)
Density functional theory data (PBE-GGA) for a geometry-optimized DyErOs4 structure.

abc: 5.3457 5.3457 5.3457
angles: 60.00 60.00 60.00
Closest atoms and distances in Å follow each position.
Fractional positions:
Dy: 0.0000 0.0000 0.0000  12 Os 3.13, 4 Er 3.27
Er: 0.2500 0.2500 0.2500  12 Os 3.13, 4 Dy 3.27
Os: 0.1251 0.6250 0.6250  6 Os 2.67
Os: 0.6250 0.1251 0.6250  6 Os 2.67
Os: 0.6250 0.6250 0.1251  6 Os 2.67
Os: 0.6250 0.6250 0.6250  6 Os 2.67

Properties
E_form ... -6.7 kcal/mol of atoms
Space-group type ... No. 216
Fermi-level density of states ... 5.67 states/eV per cell
Total magnetic moment ... 0.0007 μB/atom

(3)
Density functional theory data (PBE-GGA) for a geometry-optimized La4AgPt structure.

abc: 6.2678 6.2678 6.2678
angles: 60.00 60.00 60.00
Closest atoms and distances in Å follow each position.
Fractional positions:
La: 0.1238 0.1238 0.1238  6 La 3.10-3.16
La: 0.1238 0.1238 0.6285  6 La 3.10-3.16
La: 0.1238 0.6285 0.1238  6 La 3.10-3.16
La: 0.6285 0.1238 0.1238  6 La 3.10-3.16
Ag: 0.5000 0.5000 0.5000  12 La 3.68, 4 Pt 3.84
Pt: 0.7500 0.7500 0.7500  12 La 3.67, 4 Ag 3.84

Properties
E_form ... 8.0 kcal/mol of atoms
Space-group type ... No. 216
Fermi-level density of states ... 10.12 states/eV per cell
Total magnetic moment ... 0.0004 μB/atom

(4)
Density functional theory data (PBE-GGA) for a geometry-optimized DyZr2F11 structure.

abc: 8.3230 8.3230 8.3230
angles: 123.75 105.94 99.78
Closest atoms and distances in Å follow each position.
Fractional positions:
Dy: 0.2500 0.2500 0.0000  8 F 2.29-2.31
Dy: 0.7500 0.7500 0.0000  8 F 2.29-2.31
Zr: 0.1820 0.6380 0.8200  7 F 2.07-2.12
Zr: 0.3180 0.1380 0.4560  7 F 2.07-2.12
Zr: 0.6820 0.8620 0.5440  7 F 2.07-2.12
Zr: 0.8180 0.3620 0.1800  7 F 2.07-2.12
F: 0.0000 0.5000 0.5000  2 Zr 2.12
F: 0.0394 0.9609 0.2795  1 Zr 2.07, 1 Dy 2.29
F: 0.0578 0.3617 0.1525  1 Zr 2.07, 1 Dy 2.31
F: 0.1814 0.4609 0.9215  1 Zr 2.07, 1 Dy 2.29
F: 0.2092 0.9054 0.8475  1 Zr 2.07, 1 Dy 2.31
F: 0.2163 0.3721 0.5884  2 Zr 2.10-2.11
F: 0.2837 0.8721 0.1558  2 Zr 2.10-2.11
F: 0.2908 0.1383 0.6961  1 Zr 2.07, 1 Dy 2.31
F: 0.3186 0.2401 0.2795  1 Zr 2.07, 1 Dy 2.29
F: 0.4422 0.5946 0.3039  1 Zr 2.07, 1 Dy 2.31
F: 0.4606 0.7401 0.9215  1 Zr 2.07, 1 Dy 2.29
F: 0.5000 0.0000 0.5000  2 Zr 2.12
F: 0.5394 0.2599 0.0785  1 Zr 2.07, 1 Dy 2.29
F: 0.5578 0.4054 0.6961  1 Zr 2.07, 1 Dy 2.31
F: 0.6814 0.7599 0.7205  1 Zr 2.07, 1 Dy 2.29
F: 0.7092 0.8617 0.3039  1 Zr 2.07, 1 Dy 2.31
F: 0.7163 0.1279 0.8442  2 Zr 2.10-2.11
F: 0.7837 0.6279 0.4116  2 Zr 2.10-2.11
F: 0.7908 0.0946 0.1525  1 Zr 2.07, 1 Dy 2.31
F: 0.8186 0.5391 0.0785  1 Zr 2.07, 1 Dy 2.29
F: 0.9422 0.6383 0.8475  1 Zr 2.07, 1 Dy 2.31
F: 0.9606 0.0391 0.7205  1 Zr 2.07, 1 Dy 2.29

Properties
Space-group type ... No. 72
Energy relative to the elements, uncorrected ... -3.82 eV/atom
Fermi-level density of states ... 0.00 states/eV per cell
Total magnetic moment ... 0.0000 μB/atom

(5)
Density functional theory data (PBE-GGA) for a geometry-optimized CsNa structure.

abc: 5.1909 5.1909 5.1909
angles: 90.00 90.00 90.00
Closest atoms and distances in Å follow each position.
Fractional positions:
Cs: 0.0000 0.0000 0.0000  8 Na 4.50
Na: 0.5000 0.5000 0.5000  8 Cs 4.50

Properties
E_form ... 0.6 kcal/mol of atoms
Space-group type ... No. 221
Fermi-level density of states ... 0.90 states/eV per cell
Total magnetic moment ... 0.0000 μB/atom

(6)
Density functional theory data (PBE-GGA) for a geometry-optimized Nd2Y3Ho2 structure.

abc: 16.7759 3.5104 8.7906
angles: 90.00 116.20 90.00
Closest atoms and distances in Å follow each position.
Fractional positions:
Nd: 0.0781 0.0000 0.2004  3 Nd 3.34-3.51, 4 Y 3.42-3.60, 2 Ho 3.61
Nd: 0.4219 0.5000 0.7996  3 Nd 3.34-3.51, 4 Y 3.42-3.60, 2 Ho 3.61
Nd: 0.5781 0.5000 0.2004  3 Nd 3.34-3.51, 4 Y 3.42-3.60, 2 Ho 3.61
Nd: 0.9219 0.0000 0.7996  3 Nd 3.34-3.51, 4 Y 3.42-3.60, 2 Ho 3.61
Y: 0.0000 0.0000 0.5000  4 Y 3.34-3.51, 2 Nd 3.42
Y: 0.2208 0.0000 0.6491  5 Y 3.34-3.63, 3 Nd 3.50-3.60, 3 Ho 3.55-3.59
Y: 0.2792 0.5000 0.3509  5 Y 3.34-3.63, 3 Nd 3.50-3.60, 3 Ho 3.55-3.59
Y: 0.5000 0.5000 0.5000  4 Y 3.34-3.51, 2 Nd 3.42
Y: 0.7208 0.5000 0.6491  5 Y 3.34-3.63, 3 Nd 3.50-3.60, 3 Ho 3.55-3.59
Y: 0.7792 0.0000 0.3509  5 Y 3.34-3.63, 3 Nd 3.50-3.60, 3 Ho 3.55-3.59
Ho: 0.1392 0.5000 0.9085  4 Ho 3.51-3.77, 5 Y 3.55-3.74, 4 Nd 3.61-3.77
Ho: 0.3608 0.0000 0.0915  4 Ho 3.51-3.77, 5 Y 3.55-3.74, 4 Nd 3.61-3.77
Ho: 0.6392 0.0000 0.9085  4 Ho 3.51-3.77, 5 Y 3.55-3.74, 4 Nd 3.61-3.77
Ho: 0.8608 0.5000 0.0915  4 Ho 3.51-3.77, 5 Y 3.55-3.74, 4 Nd 3.61-3.77

Properties
E_form ... 3.0 kcal/mol of atoms
Space-group type ... No. 12
Fermi-level density of states ... 24.17 states/eV per cell
Total magnetic moment ... 0.0002 μB/atom

(7)
Density functional theory data (PBE-GGA) for a geometry-optimized GdPaGaSn structure.

abc: 7.3920 7.3920 7.3920
angles: 90.00 90.00 90.00
Closest atoms and distances in Å follow each position.
Fractional positions:
Gd: 0.0000 0.0000 0.0000  4 Ga 3.20, 4 Sn 3.20
Gd: 0.0000 0.5000 0.5000  4 Ga 3.20, 4 Sn 3.20
Gd: 0.5000 0.0000 0.5000  4 Ga 3.20, 4 Sn 3.20
Gd: 0.5000 0.5000 0.0000  4 Ga 3.20, 4 Sn 3.20
Pa: 0.0000 0.0000 0.5000  4 Sn 3.20, 4 Ga 3.20
Pa: 0.0000 0.5000 0.0000  4 Sn 3.20, 4 Ga 3.20
Pa: 0.5000 0.0000 0.0000  4 Sn 3.20, 4 Ga 3.20
Pa: 0.5000 0.5000 0.5000  4 Sn 3.20, 4 Ga 3.20
Ga: 0.2500 0.2500 0.2500  4 Gd 3.20, 4 Pa 3.20
Ga: 0.2500 0.7500 0.7500  4 Gd 3.20, 4 Pa 3.20
Ga: 0.7500 0.2500 0.7500  4 Gd 3.20, 4 Pa 3.20
Ga: 0.7500 0.7500 0.2500  4 Gd 3.20, 4 Pa 3.20
Sn: 0.2500 0.2500 0.7500  4 Gd 3.20, 4 Pa 3.20
Sn: 0.2500 0.7500 0.2500  4 Gd 3.20, 4 Pa 3.20
Sn: 0.7500 0.2500 0.2500  4 Gd 3.20, 4 Pa 3.20
Sn: 0.7500 0.7500 0.7500  4 Gd 3.20, 4 Pa 3.20

Properties
E_form ... -6.3 kcal/mol of atoms
Space-group type ... No. 216
Fermi-level density of states ... 32.03 states/eV per cell
Total magnetic moment ... 2.2477 μB/atom

(8)
Density functional theory data (PBE-GGA) for a geometry-optimized MnZnCoCu structure.

abc: 5.8379 5.8379 5.8379
angles: 90.00 90.00 90.00
Closest atoms and distances in Å follow each position.
Fractional positions:
Mn: 0.0000 0.0000 0.0000  4 Co 2.53, 4 Cu 2.53
Mn: 0.0000 0.5000 0.5000  4 Co 2.53, 4 Cu 2.53
Mn: 0.5000 0.0000 0.5000  4 Co 2.53, 4 Cu 2.53
Mn: 0.5000 0.5000 0.0000  4 Co 2.53, 4 Cu 2.53
Zn: 0.0000 0.0000 0.5000  4 Co 2.53, 4 Cu 2.53
Zn: 0.0000 0.5000 0.0000  4 Co 2.53, 4 Cu 2.53
Zn: 0.5000 0.0000 0.0000  4 Co 2.53, 4 Cu 2.53
Zn: 0.5000 0.5000 0.5000  4 Co 2.53, 4 Cu 2.53
Co: 0.2500 0.2500 0.7500  4 Mn 2.53, 4 Zn 2.53
Co: 0.2500 0.7500 0.2500  4 Mn 2.53, 4 Zn 2.53
Co: 0.7500 0.2500 0.2500  4 Mn 2.53, 4 Zn 2.53
Co: 0.7500 0.7500 0.7500  4 Mn 2.53, 4 Zn 2.53
Cu: 0.2500 0.2500 0.2500  4 Mn 2.53, 4 Zn 2.53
Cu: 0.2500 0.7500 0.7500  4 Mn 2.53, 4 Zn 2.53
Cu: 0.7500 0.2500 0.7500  4 Mn 2.53, 4 Zn 2.53
Cu: 0.7500 0.7500 0.2500  4 Mn 2.53, 4 Zn 2.53

Properties
E_form ... 0.7 kcal/mol of atoms
Space-group type ... No. 216
Fermi-level density of states ... 8.00 states/eV per cell
Total magnetic moment ... 1.1393 μB/atom

(9)
Density functional theory data (PBE-GGA) for a geometry-optimized RbBe3Os structure.

abc: 4.3658 4.3658 4.3658
angles: 90.00 90.00 90.00
Closest atoms and distances in Å follow each position.
Fractional positions:
Rb: 0.0000 0.0000 0.0000  6 Be 2.18
Be: 0.0000 0.0000 0.5000  2 Rb 2.18
Be: 0.0000 0.5000 0.0000  2 Rb 2.18
Be: 0.5000 0.0000 0.0000  2 Rb 2.18
Os: 0.5000 0.5000 0.5000  12 Be 3.09

Properties
E_form ... 72.0 kcal/mol of atoms
Space-group type ... No. 221
Fermi-level density of states ... 4.03 states/eV per cell
Total magnetic moment ... 0.3923 μB/atom

(10)
Density functional theory data (PBE-GGA) for a geometry-optimized BeFe structure.

abc: 6.7903 6.7903 6.7903
angles: 90.00 90.00 90.00
Closest atoms and distances in Å follow each position.
Fractional positions:
Be: 0.1939 0.1939 0.1939  4 Fe 2.16-2.25
Be: 0.1939 0.8061 0.8061  4 Fe 2.16-2.25
Be: 0.3061 0.3061 0.6939  4 Fe 2.16-2.25
Be: 0.3061 0.6939 0.3061  4 Fe 2.16-2.25
Be: 0.6939 0.3061 0.3061  4 Fe 2.16-2.25
Be: 0.6939 0.6939 0.6939  4 Fe 2.16-2.25
Be: 0.8061 0.1939 0.8061  4 Fe 2.16-2.25
Be: 0.8061 0.8061 0.1939  4 Fe 2.16-2.25
Fe: 0.1225 0.1225 0.8775  4 Be 2.16-2.25, 3 Fe 2.35
Fe: 0.1225 0.8775 0.1225  4 Be 2.16-2.25, 3 Fe 2.35
Fe: 0.3775 0.3775 0.3775  4 Be 2.16-2.25, 3 Fe 2.35
Fe: 0.3775 0.6225 0.6225  4 Be 2.16-2.25, 3 Fe 2.35
Fe: 0.6225 0.3775 0.6225  4 Be 2.16-2.25, 3 Fe 2.35
Fe: 0.6225 0.6225 0.3775  4 Be 2.16-2.25, 3 Fe 2.35
Fe: 0.8775 0.1225 0.1225  4 Be 2.16-2.25, 3 Fe 2.35
Fe: 0.8775 0.8775 0.8775  4 Be 2.16-2.25, 3 Fe 2.35

Properties
E_form ... 31.1 kcal/mol of atoms
Space-group type ... No. 217
Fermi-level density of states ... 13.12 states/eV per cell
Total magnetic moment ... 1.0539 μB/atom

(11)
Density functional theory data (PBE-GGA) for a geometry-optimized EuZn2Cu structure.

abc: 6.7497 6.7497 6.7497
angles: 90.00 90.00 90.00
Closest atoms and distances in Å follow each position.
Fractional positions:
Eu: 0.0000 0.0000 0.0000  8 Zn 2.92
Eu: 0.0000 0.5000 0.5000  8 Zn 2.92
Eu: 0.5000 0.0000 0.5000  8 Zn 2.92
Eu: 0.5000 0.5000 0.0000  8 Zn 2.92
Zn: 0.2500 0.2500 0.2500  4 Cu 2.92, 4 Eu 2.92
Zn: 0.2500 0.2500 0.7500  4 Cu 2.92, 4 Eu 2.92
Zn: 0.2500 0.7500 0.2500  4 Cu 2.92, 4 Eu 2.92
Zn: 0.2500 0.7500 0.7500  4 Cu 2.92, 4 Eu 2.92
Zn: 0.7500 0.2500 0.2500  4 Cu 2.92, 4 Eu 2.92
Zn: 0.7500 0.2500 0.7500  4 Cu 2.92, 4 Eu 2.92
Zn: 0.7500 0.7500 0.2500  4 Cu 2.92, 4 Eu 2.92
Zn: 0.7500 0.7500 0.7500  4 Eu 2.92, 4 Cu 2.92
Cu: 0.0000 0.0000 0.5000  8 Zn 2.92
Cu: 0.0000 0.5000 0.0000  8 Zn 2.92
Cu: 0.5000 0.0000 0.0000  8 Zn 2.92
Cu: 0.5000 0.5000 0.5000  8 Zn 2.92

Properties
E_form ... -1.1 kcal/mol of atoms
Space-group type ... No. 225
Fermi-level density of states ... 17.55 states/eV per cell
Total magnetic moment ... 1.8141 μB/atom

Across the entries above, energy takes the values -4.530, -9.305, -4.420, -6.845, -1.062, -5.308, -7.925, -5.381, -1.553, -4.748, -4.279 eV/atom, respectively.